1.
Computed, not measured: a geometry-optimized Tm4TlSe2 structure at the PBE level of DFT.

Cell lengths 9.689, 9.689, 7.701 Å; angles 90.00, 90.00, 90.00 degrees
Space group I-42d (No. 122)
Asymmetric unit:
Tm  0.040  0.193  0.343 x16
Tl  0.000  0.000  0.000 x4
Se  0.216  0.250  0.625 x8

Output
Energy relative to the lowest polymorph listed for this composition in meV per atom: 57.5


2.
Computed, not measured: a geometry-optimized TmTl5Se4 structure at the PBE level of DFT.

Cell lengths 18.971, 4.244, 8.702 Å; angles 90.00, 110.70, 90.00 degrees
Space group C2/m (No. 12)
Asymmetric unit:
Tm  0.000  0.000  0.000 x2
Tl  0.000  0.000  0.500 x2
Tl  0.155  0.500  0.800 x4
Tl  0.191  0.500  0.313 x4
Se  0.026  0.500  0.237 x4
Se  0.157  0.000  0.045 x4


3.
Computed, not measured: a geometry-optimized Tm4TlSe2 structure at the PBE level of DFT.

Cell lengths 3.8287, 3.8287, 43.3023 Å; angles 90.00, 90.00, 120.00 degrees
Space group R-3m (No. 166, hexagonal axes)
Asymmetric unit:
Tm  0.0000  0.0000  0.1354 x6
Tm  0.0000  0.0000  0.2809 x6
Tl  0.0000  0.0000  0.0000 x3
Se  0.0000  0.0000  0.4258 x6

Output
Energy relative to the lowest polymorph listed for this composition in meV per atom: 0.0


Computed raw formation energy (eV per atom) in order:
-0.975 -0.756 -1.032
Computed ρ (g/cm³) in order:
9.54 7.63 9.41
Computed total magnetization (μB per atom) in order:
0.000 0.000 0.063